GaW2F: relaxed, PBE with a Hubbard U.

Output
E: -4.193 eV/atom
symmetry: I-42d (122)
energy above the lowest structure with this stoichiometry: 0.0 kJ/mol of formula units

```
8
Lattice="6.709 0.000 0.000 0.000 6.709 0.000 3.354 3.354 2.986" Properties=species:S:1:pos:R:3 pbc="T T T"
W 5.032 5.504 2.240
W 8.386 7.913 2.240
W 4.559 1.677 0.747
W 2.150 5.032 0.747
F 3.354 6.709 1.493
F 3.354 3.354 0.000
Ga 0.000 0.000 0.000
Ga 6.709 3.354 1.493
```